This record from Alexandria describes an optimized crystal structure of Mn2Hg. The functional is PBE.

Lattice parameters (Å, degrees): 6.599 6.599 4.014 90.00 90.00 145.04
Site moments in Bohr magnetons follow the coordinates.
Positions (direct):
Mn: 0.748 0.252 0.250  3.39
Mn: 0.414 0.586 0.250  3.60
Mn: 0.586 0.414 0.750  3.60
Hg: 0.092 0.908 0.250  -0.07
Hg: 0.908 0.092 0.750  -0.07
Mn: 0.252 0.748 0.750  3.39

Computed properties:
The calculation puts the mass density at 10.3 g/cm3. As for the energy relative to the elements: 0.4266 eV per atom. For the magnetization, the calculation gives 7.150 μB/f.u.